# LiCu2Ru | Alexandria via LeMat-Bulk | PBE | relaxed
# Energy relative to the lowest polymorph listed for this composition   196.4 kJ/mol of formula units
# DFT formation energy   0.546 eV/atom
# M_tot   0.002 μB per cell
data_LiCu2Ru
_cell_length_a 3.458
_cell_length_b 3.458
_cell_length_c 17.612
_cell_angle_alpha 90.00
_cell_angle_beta 90.00
_cell_angle_gamma 90.00
_space_group_name_H-M_alt 'I -4 2 d'
_space_group_IT_number 122
_space_group_name_Hall 'I -4 2bw'
loop_
_atom_site_label
_atom_site_type_symbol
_atom_site_fract_x
_atom_site_fract_y
_atom_site_fract_z
Li1 Li 0.000 0.000 0.000
Cu1 Cu 0.247 0.250 0.125
Ru1 Ru 0.000 0.000 0.500